(1)
## LiPr2Cd6 (PBE)

Data for a relaxed LiPr2Cd6 crystal.

Cell and atoms, written as extended XYZ:
```
9
Lattice="5.421 0.254 0.147 0.357 6.932 0.136 0.357 3.571 5.943" Properties=species:S:1:pos:R:3 pbc="T T T"
Li 0.000 0.000 0.000
Pr 4.780 7.007 4.055
Pr 1.354 3.750 2.170
Cd 2.097 5.481 5.230
Cd 1.986 8.527 4.935
Cd 2.097 7.266 2.147
Cd 4.038 5.276 0.995
Cd 4.148 2.230 1.291
Cd 4.038 3.491 4.079
```

## Properties
As for the symmetry: No. 12. The value obtained for the energy of formation from the pure elements is -230 kJ/mol of formula units.

(2)
## LiPr3Cd8 (PBE)

Data for a relaxed LiPr3Cd8 crystal.

Cell and atoms, written as extended XYZ:
```
12
Lattice="5.979 0.000 0.000 2.989 5.178 0.000 2.989 1.726 9.783" Properties=species:S:1:pos:R:3 pbc="T T T"
Li 8.968 5.178 3.735
Pr 5.979 3.452 8.503
Pr 8.968 5.178 0.103
Pr 5.979 3.452 4.821
Cd 7.466 2.593 1.848
Cd 7.475 6.040 6.704
Cd 4.491 2.593 1.848
Cd 10.462 6.040 6.704
Cd 2.989 1.726 4.266
Cd 8.968 5.178 9.172
Cd 5.979 5.170 1.848
Cd 8.968 3.453 6.704
```

## Properties
As for the symmetry: No. 160. The value obtained for the energy of formation from the pure elements is -308 kJ/mol of formula units.

(3)
## Li8PrCd4 (PBE)

Data for a relaxed Li8PrCd4 crystal.

Cell and atoms, written as extended XYZ:
```
13
Lattice="5.763 0.000 0.000 2.882 6.857 0.000 2.882 0.000 6.857" Properties=species:S:1:pos:R:3 pbc="T T T"
Li 2.882 2.398 4.459
Li 2.882 4.459 2.398
Li 5.763 4.459 4.459
Li 5.763 2.398 2.398
Li 5.763 5.370 1.487
Li 5.763 1.487 5.370
Li 2.882 1.487 1.487
Li 8.645 5.370 5.370
Pr 0.000 0.000 0.000
Cd 1.441 0.000 3.429
Cd 4.323 0.000 3.429
Cd 1.441 3.429 0.000
Cd 4.323 3.429 0.000
```

## Properties
As for the symmetry: No. 139. The value obtained for the energy of formation from the pure elements is -207 kJ/mol of formula units.

(4)
## Li7PrCd4 (PBE)

Data for a relaxed Li7PrCd4 crystal.

Cell and atoms, written as extended XYZ:
```
12
Lattice="5.132 0.000 0.000 2.566 6.869 0.803 2.566 0.856 7.199" Properties=species:S:1:pos:R:3 pbc="T T T"
Li 7.698 6.522 4.742
Li 2.566 1.203 3.260
Li 2.566 4.186 2.709
Li 7.698 3.540 5.293
Li 5.132 5.249 5.767
Li 2.566 0.000 0.000
Li 5.132 2.476 2.235
Pr 0.000 0.000 0.000
Cd 5.132 2.307 4.915
Cd 5.132 5.418 3.087
Cd 7.698 5.195 7.444
Cd 2.566 2.531 0.557
```

## Properties
As for the symmetry: No. 12. The value obtained for the energy of formation from the pure elements is -52 kJ/mol of formula units.

(5)
## LiPr2Cd5 (PBE)

Data for a relaxed LiPr2Cd5 crystal.

Cell and atoms, written as extended XYZ:
```
16
Lattice="4.720 0.000 0.000 -2.360 8.803 0.000 0.000 0.000 9.959" Properties=species:S:1:pos:R:3 pbc="T T T"
Li 0.000 7.970 7.469
Li 2.360 0.833 2.490
Pr 2.360 5.396 7.469
Pr 0.000 3.406 2.490
Pr 0.000 0.000 0.000
Pr 0.000 0.000 4.979
Cd 0.000 3.420 8.955
Cd 2.360 5.383 1.004
Cd 0.000 3.420 5.984
Cd 2.360 5.383 3.975
Cd 0.000 6.407 9.615
Cd 2.360 2.396 0.344
Cd 0.000 6.407 5.323
Cd 2.360 2.396 4.635
Cd 2.360 1.784 7.469
Cd 0.000 7.018 2.490
```

## Properties
As for the symmetry: No. 63. The value obtained for the energy of formation from the pure elements is -163 kJ/mol of formula units. The polymorph energy (0 for the lowest one) is 27.8 meV per atom.

(6)
## Li2Pr3Cd4 (PBE)

Data for a relaxed Li2Pr3Cd4 crystal.

Cell and atoms, written as extended XYZ:
```
9
Lattice="-4.459 1.073 -2.758 4.567 -1.321 -2.705 -3.016 -8.631 1.518" Properties=species:S:1:pos:R:3 pbc="T T T"
Li -2.382 -3.252 -2.607
Li -0.527 -5.627 -1.338
Pr -3.866 -6.004 -1.277
Pr 0.000 0.000 0.000
Pr 0.958 -2.875 -2.668
Cd -1.656 -0.601 -2.749
Cd -1.252 -8.278 -1.196
Cd -2.092 -5.633 -4.002
Cd -0.817 -3.247 0.057
```

## Properties
As for the symmetry: No. 12. The value obtained for the energy of formation from the pure elements is -217 kJ/mol of formula units. The polymorph energy (0 for the lowest one) is 6.9 meV per atom.

(7)
## Li2PrCd (PBE)

Data for a relaxed Li2PrCd crystal.

Cell and atoms, written as extended XYZ:
```
16
Lattice="5.267 0.000 0.000 0.000 7.967 0.000 0.000 0.000 8.983" Properties=species:S:1:pos:R:3 pbc="T T T"
Li 3.950 5.594 8.737
Li 1.317 2.373 0.245
Li 3.950 1.611 4.737
Li 1.317 6.356 4.246
Li 3.950 0.387 8.445
Li 1.317 3.596 3.954
Li 3.950 4.370 5.029
Li 1.317 7.580 0.537
Pr 3.950 6.976 2.647
Pr 3.950 2.993 1.845
Pr 1.317 0.990 6.336
Pr 1.317 4.974 7.138
Cd 1.317 1.053 3.003
Cd 3.950 6.913 5.980
Cd 1.317 5.036 1.488
Cd 3.950 2.930 7.494
```

## Properties
As for the symmetry: No. 62. The value obtained for the energy of formation from the pure elements is -48 kJ/mol of formula units. The polymorph energy (0 for the lowest one) is 0.0 meV per atom.

(8)
## LiPr5Cd4 (PBE)

Data for a relaxed LiPr5Cd4 crystal.

Cell and atoms, written as extended XYZ:
```
10
Lattice="3.898 0.000 0.000 0.000 3.898 0.000 0.000 0.000 19.186" Properties=species:S:1:pos:R:3 pbc="T T T"
Li 0.000 0.000 0.000
Pr 1.949 1.949 1.921
Pr 1.949 1.949 5.733
Pr 1.949 1.949 9.593
Pr 1.949 1.949 13.453
Pr 1.949 1.949 17.265
Cd 0.000 0.000 3.776
Cd 0.000 0.000 7.651
Cd 0.000 0.000 11.535
Cd 0.000 0.000 15.410
```

## Properties
As for the symmetry: No. 123. The value obtained for the energy of formation from the pure elements is -230 kJ/mol of formula units.

(9)
## Li2PrCd6 (PBE)

Data for a relaxed Li2PrCd6 crystal.

Cell and atoms, written as extended XYZ:
```
9
Lattice="-1.447 5.676 1.538 -4.235 -3.702 -2.244 -1.716 -2.377 7.157" Properties=species:S:1:pos:R:3 pbc="T T T"
Li -4.163 -1.764 2.595
Li -3.234 1.361 3.856
Pr 0.000 0.000 0.000
Cd -1.061 2.370 2.180
Cd -3.178 0.518 1.058
Cd -2.456 -2.320 0.288
Cd -4.218 -0.922 5.393
Cd -3.495 -3.759 4.624
Cd -2.101 0.929 6.516
```

## Properties
As for the symmetry: No. 191. The value obtained for the energy of formation from the pure elements is -41 kJ/mol of formula units. The polymorph energy (0 for the lowest one) is 147.1 meV per atom.

(10)
## Li2PrCd2 (PBE)

Data for a relaxed Li2PrCd2 crystal.

Cell and atoms, written as extended XYZ:
```
5
Lattice="5.065 0.024 0.017 2.507 3.949 1.935 -0.003 0.521 5.766" Properties=species:S:1:pos:R:3 pbc="T T T"
Li 1.261 1.736 4.968
Li 6.309 2.758 2.751
Pr 3.786 1.986 0.976
Cd 3.770 3.877 3.784
Cd 3.801 0.616 3.934
```

## Properties
As for the symmetry: No. 2. The value obtained for the energy of formation from the pure elements is -113 kJ/mol of formula units. The polymorph energy (0 for the lowest one) is 0.0 meV per atom.

(11)
## Li2Pr3Cd7 (PBE)

Data for a relaxed Li2Pr3Cd7 crystal.

Cell and atoms, written as extended XYZ:
```
12
Lattice="5.972 0.000 0.000 2.986 5.172 0.000 2.986 1.724 9.420" Properties=species:S:1:pos:R:3 pbc="T T T"
Li 5.972 3.448 0.001
Li 5.972 3.448 9.419
Pr 0.000 0.000 0.000
Pr 8.958 5.172 3.889
Pr 2.986 1.724 5.531
Cd 5.972 3.448 4.710
Cd 7.480 2.577 2.230
Cd 5.972 5.190 2.230
Cd 4.463 2.577 2.230
Cd 4.463 4.319 7.190
Cd 7.480 4.319 7.190
Cd 5.972 1.706 7.190
```

## Properties
As for the symmetry: No. 166. The value obtained for the energy of formation from the pure elements is -318 kJ/mol of formula units.

(12)
## LiPrCd17 (PBE)

Data for a relaxed LiPrCd17 crystal.

Cell and atoms, written as extended XYZ:
```
19
Lattice="-3.060 6.659 -2.420 -2.610 2.528 6.809 5.920 4.620 1.780" Properties=species:S:1:pos:R:3 pbc="T T T"
Li 0.100 5.537 2.473
Pr 0.166 9.171 4.097
Cd 3.154 5.175 0.509
Cd -2.879 5.344 0.374
Cd -0.028 3.131 5.214
Cd -2.705 3.738 3.963
Cd 3.289 3.944 3.259
Cd -0.337 5.968 -1.124
Cd -1.125 6.119 5.376
Cd 2.844 7.093 3.036
Cd -1.335 8.041 1.082
Cd 1.462 7.655 0.589
Cd -2.790 6.612 3.095
Cd 1.686 5.596 5.189
Cd 1.574 12.495 2.698
Cd -2.756 11.433 5.251
Cd 1.803 10.398 7.384
Cd 0.224 12.370 5.526
Cd 0.024 1.351 0.603
```

## Properties
As for the symmetry: No. 160. The value obtained for the energy of formation from the pure elements is -159 kJ/mol of formula units.

(13)
## LiPr2Cd3 (PBE)

Data for a relaxed LiPr2Cd3 crystal.

Cell and atoms, written as extended XYZ:
```
12
Lattice="-2.178 -5.187 2.462 3.871 -4.740 -0.507 2.821 7.124 6.818" Properties=species:S:1:pos:R:3 pbc="T T T"
Li 2.068 -4.243 3.575
Li 2.446 1.440 5.198
Pr 0.745 -1.513 5.129
Pr -0.688 -5.077 1.730
Pr 3.769 -1.290 3.644
Pr 2.380 -4.850 0.224
Cd 1.882 -7.031 2.775
Cd 3.462 -0.638 6.956
Cd 2.632 4.228 5.998
Cd 1.052 -2.165 1.817
Cd 1.245 0.733 2.646
Cd 3.269 -3.536 6.127
```

## Properties
As for the symmetry: No. 69. The value obtained for the energy of formation from the pure elements is -165 kJ/mol of formula units.

(14)
## LiPrCd4 (PBE)

Data for a relaxed LiPrCd4 crystal.

Cell and atoms, written as extended XYZ:
```
6
Lattice="5.917 0.000 0.000 2.959 5.124 0.000 2.959 1.708 4.831" Properties=species:S:1:pos:R:3 pbc="T T T"
Pr 0.000 0.000 0.000
Li 2.959 1.708 1.208
Cd 5.917 3.416 0.607
Cd 5.917 1.711 3.019
Cd 7.394 4.269 3.019
Cd 4.440 4.269 3.019
```

## Properties
As for the symmetry: No. 216. The value obtained for the energy of formation from the pure elements is -112 kJ/mol of formula units. The polymorph energy (0 for the lowest one) is 44.2 meV per atom.

(15)
## Li2PrCd (PBE)

Data for a relaxed Li2PrCd crystal.

Cell and atoms, written as extended XYZ:
```
4
Lattice="3.389 0.007 0.006 1.701 2.932 0.006 1.717 0.991 10.127" Properties=species:S:1:pos:R:3 pbc="T T T"
Li 1.715 0.990 7.933
Li 1.705 0.984 2.193
Pr 3.396 1.961 5.076
Cd 3.395 1.960 0.009
```

## Properties
As for the symmetry: No. 8. The value obtained for the energy of formation from the pure elements is 6 kJ/mol of formula units. The polymorph energy (0 for the lowest one) is 139.8 meV per atom.

(16)
## LiPr4Cd3 (PBE)

Data for a relaxed LiPr4Cd3 crystal.

Cell and atoms, written as extended XYZ:
```
8
Lattice="0.595 -0.689 5.402 -0.153 -5.035 2.152 8.997 -2.633 1.451" Properties=species:S:1:pos:R:3 pbc="T T T"
Pr 3.754 -5.996 7.154
Pr 8.035 -4.451 4.103
Pr 5.684 -2.362 1.850
Pr 1.403 -3.907 4.902
Cd 2.308 -2.085 2.257
Cd 7.130 -6.273 6.747
Cd 4.719 -4.179 4.502
Li 0.000 0.000 0.000
```

## Properties
As for the symmetry: No. 166. The value obtained for the energy of formation from the pure elements is -179 kJ/mol of formula units.

(17)
## LiPrCd2 (PBE)

Data for a relaxed LiPrCd2 crystal.

Cell and atoms, written as extended XYZ:
```
4
Lattice="-3.327 0.446 1.041 -1.108 -0.614 -3.278 -0.515 -7.536 1.586" Properties=species:S:1:pos:R:3 pbc="T T T"
Pr -2.475 -3.852 -0.325
Li -2.218 -0.084 -1.118
Cd -0.411 -6.015 1.266
Cd -0.104 -1.521 0.320
```

## Properties
As for the symmetry: No. 123. The value obtained for the energy of formation from the pure elements is -100 kJ/mol of formula units. The polymorph energy (0 for the lowest one) is 22.8 meV per atom.

(18)
## Li4Pr5Cd4 (PBE)

Data for a relaxed Li4Pr5Cd4 crystal.

Cell and atoms, written as extended XYZ:
```
13
Lattice="4.856 0.000 1.235 2.428 8.355 0.617 0.369 0.000 8.715" Properties=species:S:1:pos:R:3 pbc="T T T"
Li 5.921 4.579 7.210
Li 3.727 2.827 5.672
Li 1.731 3.776 3.357
Li 3.925 5.529 4.895
Pr 5.909 7.876 7.259
Pr 1.744 0.480 3.308
Pr 0.000 0.000 0.000
Pr 4.738 5.579 1.699
Pr 2.915 2.776 8.868
Cd 4.399 2.623 3.033
Cd 3.254 5.733 7.534
Cd 6.637 6.500 4.394
Cd 1.015 1.855 6.173
```

## Properties
As for the symmetry: No. 87. The value obtained for the energy of formation from the pure elements is -194 kJ/mol of formula units.

(19)
## Li2Pr3Cd5 (PBE)

Data for a relaxed Li2Pr3Cd5 crystal.

Cell and atoms, written as extended XYZ:
```
20
Lattice="-3.630 2.175 -0.115 -4.191 -6.599 7.503 3.675 6.548 7.812" Properties=species:S:1:pos:R:3 pbc="T T T"
Li 1.779 3.268 5.637
Li -2.295 -3.320 9.678
Li -1.206 -1.814 3.786
Li 0.691 1.762 11.529
Pr 1.673 3.257 8.808
Pr -2.188 -3.309 6.507
Pr 0.422 0.908 3.850
Pr -0.938 -0.960 11.465
Pr 0.000 0.000 0.000
Pr -0.258 -0.026 7.658
Cd -2.520 0.023 2.076
Cd -1.625 2.100 13.124
Cd -4.939 -3.663 8.721
Cd 0.793 5.786 6.480
Cd -0.923 2.919 6.412
Cd -3.223 -0.796 8.788
Cd -1.513 2.111 9.783
Cd -2.633 0.012 5.417
Cd 0.023 4.361 3.849
Cd -3.911 -2.212 3.694
```

## Properties
As for the symmetry: No. 127. The value obtained for the energy of formation from the pure elements is -273 kJ/mol of formula units.

(20)
## Li5Pr2Cd12 (PBE)

Data for a relaxed Li5Pr2Cd12 crystal.

Cell and atoms, written as extended XYZ:
```
19
Lattice="7.459 0.159 0.800 0.736 7.425 0.800 0.172 0.159 7.500" Properties=species:S:1:pos:R:3 pbc="T T T"
Li 0.086 0.079 3.750
Li 0.368 3.712 0.400
Li 3.730 0.079 0.400
Li 7.542 6.980 8.204
Li 0.824 0.763 0.897
Pr 5.479 5.070 5.959
Pr 2.888 2.672 3.141
Cd 2.719 5.281 0.800
Cd 5.309 0.159 2.777
Cd 0.338 2.302 5.524
Cd 5.476 2.302 0.800
Cd 2.322 0.159 5.524
Cd 0.569 5.281 2.777
Cd 2.978 2.756 7.004
Cd 3.268 6.496 3.555
Cd 6.730 2.756 3.555
Cd 5.099 1.246 5.546
Cd 5.389 4.987 2.096
Cd 1.637 4.987 5.546
```

## Properties
As for the symmetry: No. 166. The value obtained for the energy of formation from the pure elements is -461 kJ/mol of formula units.

(21)
## LiPr4Cd2 (PBE)

Data for a relaxed LiPr4Cd2 crystal.

Cell and atoms, written as extended XYZ:
```
7
Lattice="-2.024 -2.291 4.476 3.282 -1.243 4.130 -0.908 6.674 6.288" Properties=species:S:1:pos:R:3 pbc="T T T"
Li 0.000 0.000 0.000
Pr 0.739 -0.463 9.943
Pr -0.389 3.603 4.950
Pr 0.640 -1.181 6.249
Pr -0.290 4.321 8.645
Cd 0.235 2.516 11.240
Cd 0.115 0.624 3.653
```

## Properties
As for the symmetry: No. 166. The value obtained for the energy of formation from the pure elements is -34 kJ/mol of formula units.

no.,E_tot (eV per cell),magnetic moment (μB per formula unit)
1,-19.3,0.00
2,-26.8,0.00
3,-25.9,0.00
4,-22.4,0.00
5,-35.5,0.00
6,-24.1,0.00
7,-40.1,0.00
8,-31.9,1.40
9,-14.5,0.00
10,-11.6,0.00
11,-27.9,0.00
12,-23.9,0.00
13,-31.9,0.00
14,-11.5,0.00
15,-9.5,0.00
16,-25.6,0.00
17,-9.6,0.10
18,-37.2,0.00
19,-51.1,0.00
20,-34.9,0.00
21,-23.2,1.09